## Pr5In2Pt (PBE-GGA)

Data for a relaxed structure of Pr5In2Pt.

Values from the calculation:
Its uncorrected energy is -4.815 eV per atom. Its calculated formation energy is -8.949 kcal/mol of atoms. As for the distance to the lowest polymorph of the same formula: 13.9 kJ/mol of atoms. The magnetic moment is 0.0 μB/cell. Its density of states at the Fermi level is 7.30 states/eV/f.u.

Cell: 7.262 7.262 6.855 Å, 121.99 121.99 89.99°
Element x y z (fractional)
Pr 0.732 0.232 0.963
In 0.231 0.731 0.461
Pt 0.147 0.148 0.295
Pr 0.741 0.741 0.483
Pr 0.232 0.232 0.963
In 0.731 0.231 0.461
Pr 0.232 0.732 0.964
Pr 0.732 0.732 0.963